{
  "formula": "Ba2LaTc2N6",
  "functional": "GGA-PBE",
  "state": "optimized geometry",
  "cell": [[6.246, 0.000, 0.000], [-3.123, 5.480, -0.385], [0.000, -3.588, 6.439]],
  "species": ["N", "Ba", "N", "N", "Ba", "N", "N", "Tc", "La", "Tc", "N"],
  "fractional_positions": [[0.708, 0.891, 0.213], [0.714, 0.428, 0.189], [0.772, 0.544, 0.640], [0.228, 0.456, 0.360], [0.286, 0.572, 0.811], [0.816, 0.109, 0.787], [0.292, 0.109, 0.787], [0.966, 0.932, 0.802], [0.500, 0.000, 0.500], [0.034, 0.068, 0.198], [0.184, 0.891, 0.213]],
  "spacegroup": "C2/m, No. 12",
  "total_energy_ev_per_atom": -7.86,
  "magmom_total_mub_per_fu": 0.00
}